Entry 1:
Crystalline CaTaW at its relaxed geometry. Source: Alexandria, functional PBE.

Output
Its space group is P3m1, No. 156. Its formation energy from the elements is 0.772 eV per atom. The energy above the most stable polymorph in this dataset is 249.2 meV/atom.

Cell lengths 4.8877, 4.8877, 2.8868 Å; angles 90.00, 90.00, 120.00 degrees
Sites, in units of the cell vectors:
Ca1 0.0000 0.0000 0.0000
Ta1 0.6667 0.3333 0.4022
W1 0.3333 0.6667 0.6112


Entry 2:
Crystalline CaTaW2 at its relaxed geometry. Source: Alexandria, functional PBE.

Output
Its space group is Cmmm, No. 65. Its formation energy from the elements is 0.786 eV per atom. The energy above the most stable polymorph in this dataset is 299.1 meV/atom.

Cell lengths 5.6007, 5.6007, 2.7116 Å; angles 90.00, 90.00, 118.20 degrees
Sites, in units of the cell vectors:
Ca1 0.0000 0.0000 0.0000
Ta1 0.5000 0.5000 0.0000
W1 0.0000 0.5000 0.5000
W2 0.5000 0.0000 0.5000


Entry 3:
Crystalline Ca3TaW at its relaxed geometry. Source: Alexandria, functional PBE.

Output
Its space group is Pm-3m, No. 221. Its formation energy from the elements is 1.964 eV per atom. The energy above the most stable polymorph in this dataset is 0.0 meV/atom.

Cell lengths 5.3850, 5.3850, 5.3850 Å; angles 90.00, 90.00, 90.00 degrees
Sites, in units of the cell vectors:
Ca1 0.0000 0.0000 0.5000
Ca2 0.0000 0.5000 0.0000
Ca3 0.5000 0.0000 0.0000
Ta1 0.5000 0.5000 0.5000
W1 0.0000 0.0000 0.0000


Entry 4:
Crystalline CaTaW2 at its relaxed geometry. Source: Alexandria, functional PBE.

Output
Its space group is P4mm, No. 99. Its formation energy from the elements is 0.573 eV per atom. The energy above the most stable polymorph in this dataset is 85.8 meV/atom.

Cell lengths 3.2327, 3.2327, 7.8671 Å; angles 90.00, 90.00, 90.00 degrees
Sites, in units of the cell vectors:
Ca1 0.0000 0.0000 0.0000
Ta1 0.5000 0.5000 0.3292
W1 0.0000 0.0000 0.5291
W2 0.5000 0.5000 0.7084


Entry 5:
Crystalline CaTaW at its relaxed geometry. Source: Alexandria, functional PBE.

Output
Its space group is Imm2, No. 44. Its formation energy from the elements is 0.778 eV per atom. The energy above the most stable polymorph in this dataset is 254.9 meV/atom.

Cell lengths 5.8142, 5.8142, 5.8142 Å; angles 152.50, 134.87, 53.67 degrees
Sites, in units of the cell vectors:
Ca1 0.0000 0.0000 0.0000
Ta1 0.6969 0.6969 0.0000
W1 0.3114 0.3114 0.0000


Entry 6:
Crystalline CaTa2W at its relaxed geometry. Source: Alexandria, functional PBE.

Output
Its space group is Cm, No. 8. Its formation energy from the elements is 0.657 eV per atom. The energy above the most stable polymorph in this dataset is 245.3 meV/atom.

Cell lengths 5.8064, 5.8064, 4.7357 Å; angles 113.58, 113.58, 34.00 degrees
Sites, in units of the cell vectors:
Ca1 0.0000 0.0000 0.0000
Ta1 0.2299 0.2299 0.7276
Ta2 0.4414 0.4414 0.4431
W1 0.7492 0.7492 0.2424


Entry 7:
Crystalline CaTaW2 at its relaxed geometry. Source: Alexandria, functional PBE.

Output
Its space group is Cmm2, No. 35. Its formation energy from the elements is 0.487 eV per atom. The energy above the most stable polymorph in this dataset is 0.0 meV/atom.

Cell lengths 2.8676, 2.8676, 9.9367 Å; angles 90.00, 90.00, 110.63 degrees
Sites, in units of the cell vectors:
Ca1 0.0000 0.0000 0.0000
Ta1 0.5000 0.5000 0.2942
W1 0.0000 0.0000 0.5187
W2 0.5000 0.5000 0.7323


Entry 8:
Crystalline CaTaW at its relaxed geometry. Source: Alexandria, functional PBE.

Output
Its space group is F-43m, No. 216. Its formation energy from the elements is 1.288 eV per atom. The energy above the most stable polymorph in this dataset is 765.0 meV/atom.

Cell lengths 4.6148, 4.6148, 4.6148 Å; angles 60.00, 60.00, 60.00 degrees
Sites, in units of the cell vectors:
Ca1 0.0000 0.0000 0.0000
Ta1 0.5000 0.5000 0.5000
W1 0.7500 0.7500 0.7500